Entry 1:
First-principles (PBE-GGA) data for a geometry-optimized TlSbN2F structure, as listed in Alexandria.

```
TlSbN2F
1.0
4.140 0.000 0.000
0.000 4.140 0.000
0.000 0.000 4.429
Tl Sb N F
1 1 2 1
Cartesian
0.000 0.000 0.000 Tl
2.070 2.070 2.215 Sb
0.000 2.070 2.215 N
2.070 0.000 2.215 N
2.070 2.070 0.000 F
```

The energy above the most stable polymorph in this dataset is 0.000 eV/atom. For the uncorrected formation energy, the calculation gives 0.298 eV/atom. As for the crystal system: tetragonal.


Entry 2:
First-principles (PBE-GGA) data for a geometry-optimized YScTl2 structure, as listed in Alexandria.

```
YScTl2
1.0
3.450 -4.201 0.000
3.450 4.201 0.000
0.000 0.000 3.513
Y Sc Tl
1 1 2
Cartesian
0.000 0.000 0.000 Y
3.450 0.000 0.000 Sc
1.725 2.101 1.757 Tl
1.725 -2.101 1.757 Tl
```

Its formation energy is -0.296 eV/atom. As for the crystal system: orthorhombic.


What did the first record say?
First-principles (PBE-GGA) data for a geometry-optimized TlSbN2F structure, as listed in Alexandria.

```
TlSbN2F
1.0
4.140 0.000 0.000
0.000 4.140 0.000
0.000 0.000 4.429
Tl Sb N F
1 1 2 1
Cartesian
0.000 0.000 0.000 Tl
2.070 2.070 2.215 Sb
0.000 2.070 2.215 N
2.070 0.000 2.215 N
2.070 2.070 0.000 F
```

The energy above the most stable polymorph in this dataset is 0.000 eV/atom. For the uncorrected formation energy, the calculation gives 0.298 eV/atom. As for the crystal system: tetragonal.